No. 1
# Dy6P2PbS3

Dy6P2PbS3 after structural relaxation (PBE, the Alexandria database).

- formation energy without anion corrections (eV/f.u.) = -19.24
- calculated volume (A^3/atom) = 23.3

Lattice parameters (Å, degrees): 9.0255 9.0255 8.1676 102.45 102.45 25.58
Atoms (fractional coordinates):
1 Dy 0.0032 0.0032 0.2734
2 Dy 0.3255 0.3255 0.9016
3 Dy 0.3296 0.3296 0.4215
4 Dy 0.6704 0.6704 0.5785
5 Dy 0.6745 0.6745 0.0984
6 Dy 0.9968 0.9968 0.7266
7 P 0.1680 0.1680 0.3365
8 P 0.8320 0.8320 0.6635
9 Pb 0.5000 0.5000 0.0000
10 S 0.1656 0.1656 0.8320
11 S 0.5000 0.5000 0.5000
12 S 0.8344 0.8344 0.1680

No. 2
# Pr2ZnCuRh2

Pr2ZnCuRh2 after structural relaxation (PBE, the Alexandria database).

- DFT formation energy (eV per atom) = -0.491
- calculated volume (A^3/atom) = 20.5

Lattice parameters (Å, degrees): 8.3602 8.3602 8.3602 139.61 58.90 139.01
Atoms (fractional coordinates):
1 Pr 0.1652 0.2421 0.4073
2 Pr 0.3348 0.7421 0.0769
3 Pr 0.6652 0.2579 0.9231
4 Pr 0.8348 0.7579 0.5927
5 Zn 0.2500 0.7500 0.5000
6 Zn 0.7500 0.2500 0.5000
7 Cu 0.2500 0.2500 0.0000
8 Cu 0.7500 0.7500 0.0000
9 Rh 0.1177 0.7430 0.8607
10 Rh 0.3823 0.2430 0.6254
11 Rh 0.6177 0.7570 0.3746
12 Rh 0.8823 0.2570 0.1393

Question: Which of these has the highest calculated volume?
Answer: Dy6P2PbS3